An optimized crystal structure of Rb3DyAs2, computed with GGA-PBE.

Properties
Space-group type: C2/c (15)
Total magnetization, μB/f.u.: 0.00
Energy, eV per atom: -3.0297

Cell: 8.124 8.124 8.525 Å, 95.16 95.16 88.21°
Positions (direct):
1 Rb 0.753 0.670 0.474
2 Rb 0.330 0.247 0.026
3 Rb 0.670 0.753 0.974
4 Rb 0.807 0.193 0.750
5 Rb 0.247 0.330 0.526
6 Rb 0.193 0.807 0.250
7 As 0.941 0.434 0.109
8 As 0.566 0.059 0.391
9 As 0.059 0.566 0.891
10 As 0.434 0.941 0.609
11 Dy 0.804 0.196 0.250
12 Dy 0.196 0.804 0.750